{"formula": "Nd3Y8Tm2", "functional": "PBE-GGA", "state": "optimized geometry", "space_group": "C2/m", "volume_a3_per_atom": 34.42, "cell": [[7.403, -4.594, 0.000], [7.403, 4.594, 0.000], [-2.230, 0.000, 6.579]], "species": ["Nd", "Nd", "Nd", "Y", "Y", "Y", "Y", "Y", "Y", "Y", "Y", "Tm", "Tm"], "fractional_positions": [[0.000, 0.000, 0.000], [0.175, 0.825, 0.500], [0.825, 0.175, 0.500], [0.192, 0.192, 0.899], [0.201, 0.561, 0.817], [0.412, 0.412, 0.273], [0.439, 0.799, 0.183], [0.561, 0.201, 0.817], [0.588, 0.588, 0.727], [0.799, 0.439, 0.183], [0.808, 0.808, 0.101], [0.210, 0.210, 0.425], [0.790, 0.790, 0.575]]}


{"formula": "NdY4Tm5", "functional": "PBE-GGA", "state": "optimized geometry", "space_group": "P-1", "volume_a3_per_atom": 31.31, "cell": [[3.533, 0.000, 0.000], [-0.017, 7.076, 0.000], [-1.765, -1.753, 12.524]], "species": ["Nd", "Y", "Y", "Y", "Y", "Tm", "Tm", "Tm", "Tm", "Tm"], "fractional_positions": [[0.000, 0.000, 0.000], [0.398, 0.697, 0.797], [0.399, 0.201, 0.796], [0.601, 0.799, 0.204], [0.602, 0.303, 0.203], [0.000, 0.500, 0.000], [0.202, 0.101, 0.403], [0.202, 0.601, 0.403], [0.798, 0.399, 0.597], [0.798, 0.899, 0.597]]}


no.,raw total energy (eV/f.u.)
1,-71.92
2,-52.72